[1]
The following is a DFT calculation (PBE-GGA) of a relaxed structure of TaCd2RhBr.

Properties
Energy relative to the elements, uncorrected in eV per atom: 0.890
Total moment in μB/f.u.: 0.00
DOS(E_F) in states/eV/f.u.: 5.20

Cell: 5.6879 4.6179 5.6879 Å, 90.00 90.00 90.00°
With the nearest neighbours (Å) after each atom.
Fractional coordinates of all 5 atoms:
1 Cd 0.0000 0.0000 0.5000  2 Ta 2.84
2 Cd 0.5000 0.0000 0.0000  2 Ta 2.84
3 Rh 0.0000 0.5000 0.0000  2 Ta 2.31
4 Br 0.5000 0.5000 0.5000  8 Cd 3.66, 4 Rh 4.02
5 Ta 0.0000 0.0000 0.0000  2 Rh 2.31


[2]
The following is a DFT calculation (PBE-GGA) of a relaxed structure of LiSc2Ni.

Properties
Energy relative to the elements in eV/atom: 0.051
Total moment in μB/f.u.: 0.00
DOS(E_F) in states/eV/f.u.: 4.71

Cell: 9.6906 9.6906 9.6906 Å, 19.75 19.75 19.75°
With the nearest neighbours (Å) after each atom.
Fractional coordinates of all 4 atoms:
1 Sc 0.8923 0.8923 0.8923  3 Ni 2.55
2 Sc 0.1077 0.1077 0.1077  3 Ni 2.55
3 Ni 0.5000 0.5000 0.5000  6 Sc 2.55
4 Li 0.0000 0.0000 0.0000  2 Sc 3.07, 6 Li 3.32


[3]
The following is a DFT calculation (PBE-GGA) of a relaxed structure of CrCS2N.

Properties
Energy relative to the elements, uncorrected in eV per atom: 1.493
Relative energy among the computed polymorphs in eV/atom: 0.568
Total moment in μB/f.u.: 0.89
DOS(E_F) in states/eV/f.u.: 2.18

Cell: 4.5843 4.5843 3.5004 Å, 90.00 90.00 90.00°
With the nearest neighbours (Å) after each atom.
Fractional coordinates of all 5 atoms:
1 Cr 0.0000 0.0000 0.0000  2 N 1.75
2 S 0.0000 0.5000 0.0000  2 Cr 2.29
3 S 0.5000 0.0000 0.0000  2 Cr 2.29
4 C 0.5000 0.5000 0.5000  8 S 2.88
5 N 0.0000 0.0000 0.5000  2 Cr 1.75


[4]
The following is a DFT calculation (PBE-GGA) of a relaxed structure of Cd8Hg3Pb3.

Properties
Energy relative to the elements in eV/atom: 0.070
Total moment in μB/f.u.: 0.00
DOS(E_F) in states/eV/f.u.: 5.62

Cell: 4.7266 9.4059 9.4059 Å, 68.26 75.45 75.45°
With the nearest neighbours (Å) after each atom.
Fractional coordinates of all 14 atoms:
1 Cd 0.6189 0.1032 0.6589  3 Hg 2.93-3.00, 3 Cd 2.95-2.98
2 Cd 0.3811 0.8968 0.3411  3 Hg 2.93-3.00, 3 Cd 2.95-2.98
3 Cd 0.6189 0.6589 0.1032  3 Hg 2.93-3.00, 3 Cd 2.95-2.98
4 Cd 0.3811 0.3411 0.8968  3 Hg 2.93-3.00, 3 Cd 2.95-2.98
5 Cd 0.8085 0.8301 0.5529  4 Cd 2.93-2.98, 1 Hg 2.98
6 Cd 0.1915 0.1699 0.4471  4 Cd 2.93-2.98, 1 Hg 2.98
7 Cd 0.8085 0.5529 0.8301  4 Cd 2.93-2.98, 1 Hg 2.98
8 Cd 0.1915 0.4471 0.1699  4 Cd 2.93-2.98, 1 Hg 2.98
9 Hg 0.5000 0.0000 0.0000  4 Cd 2.93
10 Hg 0.0000 0.7234 0.2766  6 Cd 2.98-3.00
11 Hg 0.0000 0.2766 0.7234  6 Cd 2.98-3.00
12 Pb 0.5000 0.5000 0.5000  4 Hg 3.34, 4 Cd 3.42
13 Pb 0.8177 0.1823 0.1823  8 Cd 3.35-3.46, 2 Hg 3.59
14 Pb 0.1823 0.8177 0.8177  8 Cd 3.35-3.46, 2 Hg 3.59


[5]
The following is a DFT calculation (PBE-GGA) of a relaxed structure of Na3Ag4Sn4.

Properties
Energy relative to the elements in eV/atom: -0.097
Total moment in μB/f.u.: 0.00
DOS(E_F) in states/eV/f.u.: 3.02

Cell: 4.5141 8.1290 8.8623 Å, 117.30 104.75 90.00°
With the nearest neighbours (Å) after each atom.
Fractional coordinates of all 11 atoms:
1 Na 0.1179 0.1179 0.2358  6 Ag 3.21-3.34, 6 Sn 3.42-3.56, 1 Na 3.56
2 Na 0.8821 0.8821 0.7642  6 Ag 3.21-3.34, 6 Sn 3.42-3.56, 1 Na 3.56
3 Na 0.0000 0.5000 0.0000  6 Ag 3.30-3.47
4 Ag 0.2186 0.7186 0.4372  6 Sn 2.87-2.94
5 Ag 0.7814 0.2814 0.5628  6 Sn 2.87-2.94
6 Ag 0.5000 0.8236 0.0000  2 Sn 2.78, 1 Ag 2.87
7 Ag 0.5000 0.1764 0.0000  2 Sn 2.78, 1 Ag 2.87
8 Sn 0.3279 0.1276 0.6557  4 Ag 2.78-2.94
9 Sn 0.6721 0.4718 0.3443  4 Ag 2.78-2.94
10 Sn 0.6721 0.8724 0.3443  4 Ag 2.78-2.94
11 Sn 0.3279 0.5282 0.6557  4 Ag 2.78-2.94


[6]
The following is a DFT calculation (PBE-GGA) of a relaxed structure of MgBe2InAu.

Properties
Energy relative to the elements in eV/atom: 1.179
Relative energy among the computed polymorphs in eV/atom: 0.884
Total moment in μB/f.u.: 0.00
DOS(E_F) in states/eV/f.u.: 2.17

Cell: 4.5658 5.3929 4.5658 Å, 90.00 90.00 90.00°
With the nearest neighbours (Å) after each atom.
Fractional coordinates of all 5 atoms:
1 Be 0.0000 0.0000 0.5000  2 Mg 2.28
2 Be 0.5000 0.0000 0.0000  2 Mg 2.28
3 Mg 0.0000 0.0000 0.0000  4 Be 2.28
4 Au 0.5000 0.5000 0.5000  4 In 3.23, 8 Be 3.53
5 In 0.0000 0.5000 0.0000  2 Mg 2.70


[7]
The following is a DFT calculation (PBE-GGA) of a relaxed structure of BaLiZnCd3.

Properties
Energy relative to the elements in eV/atom: -0.165
Total moment in μB/f.u.: 0.00
DOS(E_F) in states/eV/f.u.: 3.98

Cell: 6.4885 7.0330 7.5679 Å, 117.69 90.00 90.00°
With the nearest neighbours (Å) after each atom.
Fractional coordinates of all 12 atoms:
1 Ba 0.7500 0.2791 0.5582  1 Li 3.06, 2 Zn 3.43
2 Ba 0.2500 0.7209 0.4418  1 Li 3.06, 2 Zn 3.43
3 Li 0.2500 0.9494 0.8988  5 Cd 2.65-2.69
4 Li 0.7500 0.0506 0.1012  5 Cd 2.65-2.69
5 Zn 0.2500 0.3622 0.7243  5 Cd 2.87-2.88
6 Zn 0.7500 0.6378 0.2757  5 Cd 2.87-2.88
7 Cd 0.2500 0.1473 0.2946  1 Li 2.65, 1 Zn 2.88
8 Cd 0.0000 0.2898 0.0000  2 Li 2.69, 2 Zn 2.87, 1 Cd 2.96
9 Cd 0.5000 0.7102 0.0000  2 Li 2.69, 2 Zn 2.87, 1 Cd 2.96
10 Cd 0.5000 0.2898 0.0000  2 Li 2.69, 2 Zn 2.87, 1 Cd 2.96
11 Cd 0.0000 0.7102 0.0000  2 Li 2.69, 2 Zn 2.87, 1 Cd 2.96
12 Cd 0.7500 0.8527 0.7054  1 Li 2.65, 1 Zn 2.88


[8]
The following is a DFT calculation (PBE-GGA) of a relaxed structure of MgPtBr2.

Properties
Energy relative to the elements, uncorrected in eV per atom: -0.013
Relative energy among the computed polymorphs in eV/atom: 0.652
Total moment in μB/f.u.: 0.00
DOS(E_F) in states/eV/f.u.: 0.83

Cell: 4.8944 4.8944 4.8944 Å, 60.00 60.00 60.00°
With the nearest neighbours (Å) after each atom.
Fractional coordinates of all 4 atoms:
1 Mg 0.0000 0.0000 0.0000  8 Br 3.00
2 Br 0.2500 0.2500 0.2500  4 Mg 3.00, 4 Pt 3.00
3 Br 0.7500 0.7500 0.7500  4 Mg 3.00, 4 Pt 3.00
4 Pt 0.5000 0.5000 0.5000  8 Br 3.00


[9]
The following is a DFT calculation (PBE-GGA) of a relaxed structure of CrH2IrSe.

Properties
Total energy in eV per atom: -5.432
Total moment in μB/f.u.: 2.72
DOS(E_F) in states/eV/f.u.: 3.52

Cell: 3.5081 5.1475 3.5081 Å, 90.00 90.00 90.00°
With the nearest neighbours (Å) after each atom.
Fractional coordinates of all 5 atoms:
1 Cr 0.0000 0.5000 0.0000  4 Se 2.48, 2 Ir 2.57
2 Ir 0.0000 0.0000 0.0000  4 H 1.75
3 Se 0.5000 0.5000 0.5000  4 Cr 2.48
4 H 0.0000 0.0000 0.5000  2 Ir 1.75
5 H 0.5000 0.0000 0.0000  2 Ir 1.75


[10]
The following is a DFT calculation (PBE-GGA) of a relaxed structure of PrDyHo5Sc2.

Properties
Energy relative to the elements in eV/atom: 0.172
Total moment in μB/f.u.: 0.00
DOS(E_F) in states/eV/f.u.: 13.18

Cell: 5.5877 11.1109 9.2975 Å, 90.00 90.00 104.56°
With the nearest neighbours (Å) after each atom.
Fractional coordinates of all 18 atoms:
1 Pr 0.8150 0.6300 0.5180  2 Sc 3.15-3.25, 5 Ho 3.37-3.45, 2 Dy 3.51
2 Pr 0.1850 0.3700 0.0180  2 Sc 3.15-3.25, 5 Ho 3.37-3.45, 2 Dy 3.51
3 Dy 0.5963 0.1926 0.9182  3 Ho 3.07-3.37
4 Dy 0.4037 0.8074 0.4182  3 Ho 3.07-3.37
5 Ho 0.3927 0.7854 0.0465  4 Sc 3.20-3.47, 3 Ho 3.21-3.54, 1 Dy 3.46
6 Ho 0.7342 0.4685 0.8333  1 Dy 3.07, 1 Sc 3.28, 2 Ho 3.38, 1 Pr 3.41
7 Ho 0.4681 0.9363 0.7486  2 Dy 3.18-3.37, 3 Ho 3.21-3.53, 2 Sc 3.38
8 Ho 0.3081 0.6162 0.7199  2 Pr 3.37, 5 Ho 3.38-3.71, 3 Sc 3.41-3.63, 1 Dy 3.48
9 Ho 0.9921 0.9842 0.5181  1 Sc 3.16, 2 Dy 3.50
10 Ho 0.6073 0.2146 0.5465  4 Sc 3.20-3.47, 3 Ho 3.21-3.54, 1 Dy 3.46
11 Ho 0.2658 0.5315 0.3333  1 Dy 3.07, 1 Sc 3.28, 2 Ho 3.38, 1 Pr 3.41
12 Ho 0.5319 0.0637 0.2486  2 Dy 3.18-3.37, 3 Ho 3.21-3.53, 2 Sc 3.38
13 Ho 0.6919 0.3838 0.2199  2 Pr 3.37, 5 Ho 3.38-3.71, 3 Sc 3.41-3.63, 1 Dy 3.48
14 Ho 0.0079 0.0158 0.0181  1 Sc 3.16, 2 Dy 3.50
15 Sc 0.8866 0.7732 0.8255  8 Ho 3.16-3.47, 1 Pr 3.25, 1 Sc 3.49
16 Sc 0.1397 0.2795 0.6958  1 Pr 3.15, 2 Ho 3.20, 1 Sc 3.49
17 Sc 0.1134 0.2268 0.3255  8 Ho 3.16-3.47, 1 Pr 3.25, 1 Sc 3.49
18 Sc 0.8603 0.7205 0.1958  1 Pr 3.15, 2 Ho 3.20, 1 Sc 3.49


[11]
The following is a DFT calculation (PBE-GGA) of a relaxed structure of Nb6AlB.

Properties
Energy relative to the elements in eV/atom: -0.062
Total moment in μB/f.u.: 0.00
DOS(E_F) in states/eV/f.u.: 5.96

Cell: 4.9895 6.6160 5.3879 Å, 73.20 79.16 53.12°
With the nearest neighbours (Å) after each atom.
Fractional coordinates of all 8 atoms:
1 Nb 0.1102 0.2818 0.7182  1 B 2.32
2 Nb 0.8350 0.9324 0.6887  1 B 2.26
3 Nb 0.4567 0.3113 0.0672  1 B 2.25
4 Nb 0.1650 0.0676 0.3113  1 B 2.26
5 Nb 0.8898 0.7182 0.2818  1 B 2.32
6 Nb 0.5433 0.6887 0.9328  1 B 2.25
7 Al 0.5000 0.5000 0.5000  12 Nb 2.80-3.04
8 B 0.0000 0.0000 0.0000  6 Nb 2.25-2.32


[12]
The following is a DFT calculation (PBE-GGA) of a relaxed structure of TcMo2PdN.

Properties
Energy relative to the elements, uncorrected in eV per atom: -0.097
Total moment in μB/f.u.: 0.00
DOS(E_F) in states/eV/f.u.: 3.83

Cell: 4.1047 4.1047 4.0559 Å, 90.00 90.00 90.00°
With the nearest neighbours (Å) after each atom.
Fractional coordinates of all 5 atoms:
1 Mo 0.0000 0.5000 0.0000  2 N 2.05
2 Mo 0.5000 0.0000 0.0000  2 N 2.05
3 Tc 0.0000 0.0000 0.5000  2 N 2.03
4 Pd 0.5000 0.5000 0.5000  8 Mo 2.89, 4 Tc 2.90
5 N 0.0000 0.0000 0.0000  2 Tc 2.03, 4 Mo 2.05